A relaxed Ac2AlNi6Sn crystal, computed with PBE.

energy	-5.407	eV per atom
volume	190.69	Å³ per cell
ρ	8289	kg/m³

Lattice parameters (Å, degrees): 5.235 6.393 6.781 83.98 67.31 65.86
Space group P-1 (No. 2)
Symmetry-distinct sites (fractional):
Ac: 0.048 0.191 0.215 [2 per cell]
Al: 0.500 0.000 0.500 [1 per cell]
Ni: 0.013 0.279 0.714 [2 per cell]
Ni: 0.336 0.413 0.419 [2 per cell]
Ni: 0.494 0.278 0.715 [2 per cell]
Sn: 0.500 0.500 0.000 [1 per cell]